This record from Alexandria describes Pu2UH3 after structural relaxation. The functional is PBE-GGA.

POSCAR file:
```
Pu2UH3
1.0
5.259 -2.703 0.000
5.259 2.703 0.000
-4.537 0.000 6.026
Pu U H
4 2 6
Cartesian
0.070 0.000 1.876
3.625 0.000 0.184
2.356 0.000 5.842
5.911 0.000 4.150
-2.268 0.000 3.013
2.990 0.000 3.013
2.042 1.192 1.470
5.259 1.511 0.000
3.939 1.192 4.557
2.042 -1.192 1.470
5.259 -1.511 0.000
3.939 -1.192 4.557
```

SG = C2/m
uncorrected energy = -8.3469 eV per atom